## A
First-principles (PBE-GGA) data for a relaxed K2RbGeAu crystal, as listed in Alexandria via LeMat-Bulk.

Cell lengths 6.603, 6.603, 4.877 Å; angles 90.00, 90.00, 90.00 degrees
Space group P4/mmm (No. 123)
One atom of each set of equivalent atoms:
K 0.000 0.500 0.000
Rb 0.000 0.000 0.500
Ge 0.500 0.500 0.500
Au 0.500 0.500 0.000

## Properties
Crystal system: tetragonal
ρ, kg/m3: 3384


## B
First-principles (PBE-GGA) data for a relaxed K2RbGeAu crystal, as listed in Alexandria via LeMat-Bulk.

Cell lengths 6.673, 6.673, 4.879 Å; angles 90.00, 90.00, 90.00 degrees
Space group P4/mmm (No. 123)
One atom of each set of equivalent atoms:
K 0.000 0.500 0.000
Rb 0.000 0.000 0.500
Ge 0.500 0.500 0.000
Au 0.500 0.500 0.500

## Properties
Crystal system: tetragonal
ρ, kg/m3: 3311


Most stable: A. Least stable: B.


## A
First-principles (PBE-GGA) data for a relaxed KGeAuS3 crystal, as listed in Alexandria via LeMat-Bulk.

Cell lengths 10.821, 11.499, 12.135 Å; angles 90.00, 119.67, 90.00 degrees
Space group P2_1/c (No. 14)
One atom of each set of equivalent atoms:
K 0.088 0.239 0.121
K 0.388 0.734 0.716
Ge 0.335 0.004 0.440
Ge 0.335 0.501 0.418
Au 0.012 0.590 0.147
Au 0.014 0.581 0.678
S 0.186 0.004 0.998
S 0.209 0.658 0.859
S 0.214 0.166 0.421
S 0.234 0.509 0.208
S 0.485 0.028 0.358
S 0.500 0.145 0.986

## Properties
Crystal system: monoclinic
ρ, kg/m3: 4100


## B
First-principles (PBE-GGA) data for a relaxed KGeAuS3 crystal, as listed in Alexandria via LeMat-Bulk.

Cell lengths 13.334, 7.252, 7.990 Å; angles 90.00, 111.40, 90.00 degrees
Space group C2/m (No. 12)
One atom of each set of equivalent atoms:
K 0.165 0.000 0.197
Ge 0.063 0.500 0.877
Au 0.000 0.233 0.500
S 0.117 0.500 0.185
S 0.120 0.239 0.796

## Properties
Crystal system: monoclinic
ρ, kg/m3: 3738


Most stable: A. Least stable: B.


## A
First-principles (PBE-GGA) data for a relaxed LaGe2Au4 crystal, as listed in Alexandria via LeMat-Bulk.

Cell lengths 8.183, 8.183, 4.281 Å; angles 90.00, 90.00, 90.00 degrees
Space group P4_2/mnm (No. 136)
One atom of each set of equivalent atoms:
La 0.000 0.000 0.000
Ge 0.222 0.222 0.500
Au 0.077 0.672 0.500

## Properties
Crystal system: tetragonal
ρ, kg/m3: 12422


## B
First-principles (PBE-GGA) data for a relaxed LaGe2Au4 crystal, as listed in Alexandria via LeMat-Bulk.

Cell lengths 4.551, 13.963, 4.542 Å; angles 90.00, 90.00, 90.00 degrees
Space group Cmmm (No. 65)
One atom of each set of equivalent atoms:
La 0.000 0.000 0.000
Ge 0.000 0.410 0.500
Au 0.000 0.177 0.500
Au 0.000 0.319 0.000

## Properties
Crystal system: orthorhombic
ρ, kg/m3: 12335


Most stable: B. Least stable: A.